one) # PBE PaTi2Ru, optimized geometry
# - theoretical density (g/cm³) = 9.8
# - DOS(E_F) (states/eV/atom) = 2.07
data_PaTi2Ru
_chemical_formula_sum 'Pa1 Ti2 Ru1'
_space_group_name_H-M_alt 'P 4/m m m'
_space_group_IT_number 123
_space_group_name_Hall '-P 4 2'
_cell_length_a 3.082
_cell_length_b 3.082
_cell_length_c 7.619
_cell_angle_alpha 90.00
_cell_angle_beta 90.00
_cell_angle_gamma 90.00
loop_
_atom_site_label
_atom_site_fract_x
_atom_site_fract_y
_atom_site_fract_z
Pa1 0.000 0.000 0.000
Ti1 0.500 0.500 0.301
Ru1 0.000 0.000 0.500

***

two) # PBE PaTi2Ru, optimized geometry
# - theoretical density (g/cm³) = 8.8
# - DOS(E_F) (states/eV/atom) = 1.66
data_PaTi2Ru
_chemical_formula_sum 'Pa3 Ti6 Ru3'
_space_group_name_H-M_alt 'R -3 m'
_space_group_IT_number 166
_space_group_name_Hall '-R 3 2"'
_cell_length_a 4.0799
_cell_length_b 4.0799
_cell_length_c 16.7733
_cell_angle_alpha 90.00
_cell_angle_beta 90.00
_cell_angle_gamma 120.00
loop_
_atom_site_label
_atom_site_fract_x
_atom_site_fract_y
_atom_site_fract_z
Pa1 0.0000 0.0000 0.0000
Ti1 0.0000 0.0000 0.2160
Ru1 0.0000 0.0000 0.5000

***

Relative energies, unit meV per atom: one) 0; two) 406

***

one) # PBE PaTlRu2, optimized geometry
# - theoretical density (g/cm³) = 14.2
# - DOS(E_F) (states/eV/atom) = 0.28
data_PaTlRu2
_chemical_formula_sum 'Pa1 Tl1 Ru2'
_space_group_name_H-M_alt 'P 4/m m m'
_space_group_IT_number 123
_space_group_name_Hall '-P 4 2'
_cell_length_a 4.502
_cell_length_b 4.502
_cell_length_c 3.680
_cell_angle_alpha 90.00
_cell_angle_beta 90.00
_cell_angle_gamma 90.00
loop_
_atom_site_label
_atom_site_fract_x
_atom_site_fract_y
_atom_site_fract_z
Pa1 0.000 0.000 0.000
Tl1 0.500 0.500 0.000
Ru1 0.000 0.500 0.500

***

two) # PBE PaTlRu2, optimized geometry
# - theoretical density (g/cm³) = 13.5
# - DOS(E_F) (states/eV/atom) = 0.96
data_PaTlRu2
_chemical_formula_sum 'Pa1 Tl1 Ru2'
_space_group_name_H-M_alt 'P 4/m m m'
_space_group_IT_number 123
_space_group_name_Hall '-P 4 2'
_cell_length_a 3.456
_cell_length_b 3.456
_cell_length_c 6.558
_cell_angle_alpha 90.00
_cell_angle_beta 90.00
_cell_angle_gamma 90.00
loop_
_atom_site_label
_atom_site_fract_x
_atom_site_fract_y
_atom_site_fract_z
Pa1 0.000 0.000 0.000
Tl1 0.000 0.000 0.500
Ru1 0.500 0.500 0.221

***

Relative energies, unit meV per atom: one) 0; two) 142

***

one) # PBE Tm2PaRu3, optimized geometry
# - theoretical density (g/cm³) = 11.6
# - DOS(E_F) (states/eV/atom) = 0.67
data_Tm2PaRu3
_chemical_formula_sum 'Tm4 Pa2 Ru6'
_space_group_name_H-M_alt 'I m m m'
_space_group_IT_number 71
_space_group_name_Hall '-I 2 2'
_cell_length_a 3.351
_cell_length_b 5.519
_cell_length_c 13.506
_cell_angle_alpha 90.00
_cell_angle_beta 90.00
_cell_angle_gamma 90.00
loop_
_atom_site_label
_atom_site_fract_x
_atom_site_fract_y
_atom_site_fract_z
Tm1 0.000 0.000 0.167
Pa1 0.000 0.000 0.500
Ru1 0.000 0.500 0.152
Ru2 0.000 0.500 0.500

***

two) # PBE Tm2PaRu3, optimized geometry
# - theoretical density (g/cm³) = 12.4
# - DOS(E_F) (states/eV/atom) = 0.27
data_Tm2PaRu3
_chemical_formula_sum 'Tm2 Pa1 Ru3'
_space_group_name_H-M_alt 'P -3 m 1'
_space_group_IT_number 164
_space_group_name_Hall '-P 3 2"'
_cell_length_a 4.7977
_cell_length_b 4.7977
_cell_length_c 5.8366
_cell_angle_alpha 90.00
_cell_angle_beta 90.00
_cell_angle_gamma 120.00
loop_
_atom_site_label
_atom_site_fract_x
_atom_site_fract_y
_atom_site_fract_z
Tm1 0.3333 0.6667 0.1557
Pa1 0.0000 0.0000 0.5000
Ru1 0.0000 0.0000 0.0000
Ru2 0.3333 0.6667 0.6512

***

Relative energies, unit meV per atom: one) 363; two) 0

***

one) # PBE UPaRu4, optimized geometry
# - theoretical density (g/cm³) = 13.8
# - DOS(E_F) (states/eV/atom) = 2.28
data_UPaRu4
_chemical_formula_sum 'U4 Pa4 Ru16'
_space_group_name_H-M_alt 'F -4 3 m'
_space_group_IT_number 216
_space_group_name_Hall 'F -4 2 3'
_cell_length_a 7.494
_cell_length_b 7.494
_cell_length_c 7.494
_cell_angle_alpha 90.00
_cell_angle_beta 90.00
_cell_angle_gamma 90.00
loop_
_atom_site_label
_atom_site_fract_x
_atom_site_fract_y
_atom_site_fract_z
U1 0.000 0.000 0.000
Pa1 0.250 0.250 0.250
Ru1 0.125 0.125 0.625

***

two) # PBE UPaRu4, optimized geometry
# - theoretical density (g/cm³) = 13.4
# - DOS(E_F) (states/eV/atom) = 0.93
data_UPaRu4
_chemical_formula_sum 'U2 Pa2 Ru8'
_space_group_name_H-M_alt 'C 1 2/m 1'
_space_group_IT_number 12
_space_group_name_Hall '-C 2y'
_cell_length_a 8.646
_cell_length_b 3.720
_cell_length_c 7.451
_cell_angle_alpha 90.00
_cell_angle_beta 115.15
_cell_angle_gamma 90.00
loop_
_atom_site_label
_atom_site_fract_x
_atom_site_fract_y
_atom_site_fract_z
U1 0.000 0.000 0.000
Pa1 0.000 0.000 0.500
Ru1 0.182 0.500 0.343
Ru2 0.196 0.500 0.847

***

Relative energies, unit meV per atom: one) 0; two) 19

***

one) # PBE YPaRu, optimized geometry
# - theoretical density (g/cm³) = 9.2
# - DOS(E_F) (states/eV/atom) = 2.05
data_YPaRu
_chemical_formula_sum 'Y4 Pa4 Ru4'
_space_group_name_H-M_alt 'F -4 3 m'
_space_group_IT_number 216
_space_group_name_Hall 'F -4 2 3'
_cell_length_a 6.734
_cell_length_b 6.734
_cell_length_c 6.734
_cell_angle_alpha 90.00
_cell_angle_beta 90.00
_cell_angle_gamma 90.00
loop_
_atom_site_label
_atom_site_fract_x
_atom_site_fract_y
_atom_site_fract_z
Y1 0.000 0.000 0.000
Pa1 0.000 0.000 0.500
Ru1 0.250 0.250 0.250

***

two) # PBE YPaRu, optimized geometry
# - theoretical density (g/cm³) = 9.0
# - DOS(E_F) (states/eV/atom) = 1.31
data_YPaRu
_chemical_formula_sum 'Y4 Pa4 Ru4'
_space_group_name_H-M_alt 'P 1 21/c 1'
_space_group_IT_number 14
_space_group_name_Hall '-P 2ybc'
_cell_length_a 5.533
_cell_length_b 8.497
_cell_length_c 7.279
_cell_angle_alpha 90.00
_cell_angle_beta 115.28
_cell_angle_gamma 90.00
loop_
_atom_site_label
_atom_site_fract_x
_atom_site_fract_y
_atom_site_fract_z
Y1 0.220 0.126 0.456
Pa1 0.259 0.614 0.533
Ru1 0.445 0.631 0.265

***

Relative energies, unit meV per atom: one) 205; two) 0

***

one) # PBE PaSbS, optimized geometry
# - theoretical density (g/cm³) = 8.6
# - DOS(E_F) (states/eV/atom) = 0.36
data_PaSbS
_chemical_formula_sum 'Pa1 Sb1 S1'
_space_group_name_H-M_alt 'P -6 m 2'
_space_group_IT_number 187
_space_group_name_Hall 'P -6 2'
_cell_length_a 4.5513
_cell_length_b 4.5513
_cell_length_c 4.1594
_cell_angle_alpha 90.00
_cell_angle_beta 90.00
_cell_angle_gamma 120.00
loop_
_atom_site_label
_atom_site_fract_x
_atom_site_fract_y
_atom_site_fract_z
Pa1 0.0000 0.0000 0.0000
Sb1 0.3333 0.6667 0.5000
S1 0.6667 0.3333 0.0000

***

two) # PBE PaSbS, optimized geometry
# - theoretical density (g/cm³) = 7.9
# - DOS(E_F) (states/eV/atom) = 1.80
data_PaSbS
_chemical_formula_sum 'Pa2 Sb2 S2'
_space_group_name_H-M_alt 'P 4/n m m'
_space_group_IT_number 129
_cell_length_a 4.642
_cell_length_b 4.642
_cell_length_c 7.556
_cell_angle_alpha 90.00
_cell_angle_beta 90.00
_cell_angle_gamma 90.00
loop_
_space_group_symop_operation_xyz
'x,y,z'
'-x,-y,-z'
'-y+1/2,x,z'
'y+1/2,-x,-z'
'-x+1/2,-y+1/2,z'
'x+1/2,y+1/2,-z'
'y,-x+1/2,z'
'-y,x+1/2,-z'
'x+1/2,-y,-z'
'-x+1/2,y,z'
'-y,-x,-z'
'y,x,z'
'-x,y+1/2,-z'
'x,-y+1/2,z'
'y+1/2,x+1/2,-z'
'-y+1/2,-x+1/2,z'
loop_
_atom_site_label
_atom_site_fract_x
_atom_site_fract_y
_atom_site_fract_z
Pa1 0.250 0.250 0.194
Sb1 0.250 0.750 0.500
S1 0.250 0.750 0.000

***

Relative energies, unit meV per atom: one) 16; two) 0

***

one) # PBE PaSbS, optimized geometry
# - theoretical density (g/cm³) = 8.5
# - DOS(E_F) (states/eV/atom) = 0.45
data_PaSbS
_chemical_formula_sum 'Pa2 Sb2 S2'
_space_group_name_H-M_alt 'P 63/m m c'
_space_group_IT_number 194
_space_group_name_Hall '-P 6c 2c'
_cell_length_a 4.5354
_cell_length_b 4.5354
_cell_length_c 8.4839
_cell_angle_alpha 90.00
_cell_angle_beta 90.00
_cell_angle_gamma 120.00
loop_
_atom_site_label
_atom_site_fract_x
_atom_site_fract_y
_atom_site_fract_z
Pa1 0.3333 0.6667 0.2500
Sb1 0.0000 0.0000 0.0000
S1 0.3333 0.6667 0.7500

***

two) # PBE PaSbS, optimized geometry
# - theoretical density (g/cm³) = 9.1
# - DOS(E_F) (states/eV/atom) = 1.45
data_PaSbS
_chemical_formula_sum 'Pa4 Sb4 S4'
_space_group_name_H-M_alt 'I 4/m m m'
_space_group_IT_number 139
_space_group_name_Hall '-I 4 2'
_cell_length_a 4.083
_cell_length_b 4.083
_cell_length_c 16.838
_cell_angle_alpha 90.00
_cell_angle_beta 90.00
_cell_angle_gamma 90.00
loop_
_atom_site_label
_atom_site_fract_x
_atom_site_fract_y
_atom_site_fract_z
Pa1 0.000 0.000 0.155
Sb1 0.000 0.500 0.000
S1 0.000 0.000 0.318

***

three) # PBE PaSbS, optimized geometry
# - theoretical density (g/cm³) = 8.9
# - DOS(E_F) (states/eV/atom) = 1.19
data_PaSbS
_chemical_formula_sum 'Pa2 Sb2 S2'
_space_group_name_H-M_alt 'I 4 m m'
_space_group_IT_number 107
_space_group_name_Hall 'I 4 -2'
_cell_length_a 3.590
_cell_length_b 3.590
_cell_length_c 11.140
_cell_angle_alpha 90.00
_cell_angle_beta 90.00
_cell_angle_gamma 90.00
loop_
_atom_site_label
_atom_site_fract_x
_atom_site_fract_y
_atom_site_fract_z
Pa1 0.000 0.000 0.000
Sb1 0.000 0.000 0.305
S1 0.000 0.000 0.600

***

Relative energies, unit meV per atom: one) 215; two) 0; three) 157